Density functional theory data (meta-GGA SCAN) for CaMg2Ta at its PBEsol-relaxed geometry.

## Properties
theoretical density = 4.99 Mg/m³
DFT formation energy = 0.68 eV/atom
raw total energy = -83.5 eV per formula unit

Unit cell a=3.128 b=5.255 c=5.456 alpha=90.00 beta=90.00 gamma=90.00
Space group Pmmm (No. 47)
Unique sites:
1 Ca 0.000 0.000 0.000
2 Mg 0.000 0.500 0.500
3 Mg 0.500 0.000 0.500
4 Ta 0.500 0.500 0.000

Density functional theory data (meta-GGA SCAN) for MgCrN2O at its PBEsol-relaxed geometry.

## Properties
theoretical density = 3.52 Mg/m³
energy relative to the elements, uncorrected = 0.554 eV/atom
raw total energy = -45.4 eV per formula unit

Unit cell a=3.923 b=3.923 c=3.691 alpha=90.00 beta=90.00 gamma=90.00
Space group P4/mmm (No. 123)
Unique sites:
1 Mg 0.000 0.000 0.000
2 Cr 0.500 0.500 0.500
3 N 0.000 0.500 0.000
4 O 0.000 0.000 0.500

Density functional theory data (meta-GGA SCAN) for RbSb3P at its PBEsol-relaxed geometry.

## Properties
theoretical density = 4.23 Mg/m³
energy relative to the elements, uncorrected = 2.107 eV/atom
raw total energy = -132.4 eV per formula unit

Unit cell a=5.742 b=5.742 c=5.742 alpha=90.00 beta=90.00 gamma=90.00
Space group Pm-3m (No. 221)
Unique sites:
1 Rb 0.000 0.000 0.000
2 Sb 0.000 0.000 0.500
3 P 0.500 0.500 0.500

Density functional theory data (meta-GGA SCAN) for NiCN2O at its PBEsol-relaxed geometry.

## Properties
theoretical density = 3.80 Mg/m³
energy relative to the elements, uncorrected = 1.457 eV/atom
raw total energy = -43.8 eV per formula unit

Unit cell a=2.840 b=2.840 c=6.223 alpha=90.00 beta=90.00 gamma=90.00
Space group P4/mmm (No. 123)
Unique sites:
1 Ni 0.000 0.000 0.000
2 C 0.500 0.500 0.500
3 N 0.000 0.500 0.500
4 O 0.500 0.500 0.000

Density functional theory data (meta-GGA SCAN) for Ta2Co2Os at its PBEsol-relaxed geometry.

## Properties
theoretical density = 16.26 Mg/m³
DFT formation energy = -0.15 eV/atom
raw total energy = -240.4 eV per formula unit

Unit cell a=6.629 b=6.629 c=3.114 alpha=90.00 beta=90.00 gamma=90.00
Space group P4/mbm (No. 127)
Unique sites:
1 Ta 0.180 0.320 0.000
2 Co 0.122 0.622 0.500
3 Os 0.000 0.000 0.500

Density functional theory data (meta-GGA SCAN) for ZrFeSi2Os at its PBEsol-relaxed geometry.

## Properties
theoretical density = 6.81 Mg/m³
energy relative to the elements, uncorrected = 2.105 eV/atom
raw total energy = -130.2 eV per formula unit

Unit cell a=4.753 b=4.753 c=4.249 alpha=90.00 beta=90.00 gamma=90.00
Space group P4/mmm (No. 123)
Unique sites:
1 Zr 0.000 0.000 0.000
2 Fe 0.000 0.000 0.500
3 Si 0.000 0.500 0.000
4 Os 0.500 0.500 0.500

Density functional theory data (meta-GGA SCAN) for Hg2P2O7 at its PBEsol-relaxed geometry.

## Properties
theoretical density = 6.46 Mg/m³
energy relative to the elements, uncorrected = -1.700 eV/atom
raw total energy = -219.4 eV per formula unit

Unit cell a=6.730 b=6.910 c=7.082 alpha=78.22 beta=67.14 gamma=80.18
Space group P-1 (No. 2)
Unique sites:
1 Hg 0.104 0.173 0.247
2 Hg 0.303 0.317 0.625
3 P 0.212 0.659 0.264
4 P 0.359 0.871 0.831
5 O 0.062 0.833 0.365
6 O 0.079 0.517 0.235
7 O 0.224 0.763 0.765
8 O 0.257 0.083 0.883
9 O 0.372 0.557 0.371
10 O 0.381 0.750 0.043
11 O 0.406 0.125 0.324

Density functional theory data (meta-GGA SCAN) for NaAl2Ru at its PBEsol-relaxed geometry.

## Properties
theoretical density = 4.91 Mg/m³
DFT formation energy = -0.11 eV/atom
offset from the most stable computed form = 0.00 eV/f.u.
raw total energy = -55.0 eV per formula unit

Unit cell a=6.223 b=6.223 c=6.223 alpha=90.00 beta=90.00 gamma=90.00
Space group Fm-3m (No. 225)
Unique sites:
1 Na 0.000 0.000 0.000
2 Al 0.250 0.250 0.250
3 Ru 0.000 0.000 0.500

Density functional theory data (meta-GGA SCAN) for CdW2Cl at its PBEsol-relaxed geometry.

## Properties
theoretical density = 13.36 Mg/m³
offset from the most stable computed form = 0.00 eV/f.u.
energy relative to the elements, uncorrected = 0.811 eV/atom
raw total energy = -174.5 eV per formula unit

Unit cell a=2.8613 b=2.8613 c=27.1186 alpha=90.00 beta=90.00 gamma=120.00
Space group R-3m (No. 166, hexagonal axes)
Unique sites:
1 Cd 0.0000 0.0000 0.0000
2 W 0.0000 0.0000 0.2431
3 Cl 0.0000 0.0000 0.5000

Density functional theory data (meta-GGA SCAN) for YSbTe2I at its PBEsol-relaxed geometry.

## Properties
theoretical density = 5.20 Mg/m³
offset from the most stable computed form = 0.00 eV/f.u.
energy relative to the elements, uncorrected = -0.181 eV/atom
raw total energy = -177.3 eV per formula unit

Unit cell a=5.805 b=5.805 c=5.617 alpha=90.00 beta=90.00 gamma=90.00
Space group P4/mmm (No. 123)
Unique sites:
1 Y 0.000 0.000 0.000
2 Sb 0.500 0.500 0.500
3 Te 0.000 0.500 0.000
4 I 0.000 0.000 0.500

Density functional theory data (meta-GGA SCAN) for TaIr2W at its PBEsol-relaxed geometry.

## Properties
theoretical density = 20.55 Mg/m³
DFT formation energy = -0.56 eV/atom
offset from the most stable computed form = 0.00 eV/f.u.
raw total energy = -280.7 eV per formula unit

Unit cell a=3.951 b=3.951 c=3.878 alpha=90.00 beta=90.00 gamma=90.00
Space group P4/mmm (No. 123)
Unique sites:
1 Ta 0.000 0.000 0.000
2 Ir 0.000 0.500 0.500
3 W 0.500 0.500 0.000

Density functional theory data (meta-GGA SCAN) for HfZnIn2Mo at its PBEsol-relaxed geometry.

## Properties
theoretical density = 7.12 Mg/m³
DFT formation energy = 0.73 eV/atom
raw total energy = -174.2 eV per formula unit

Unit cell a=5.242 b=5.242 c=4.834 alpha=90.00 beta=90.00 gamma=90.00
Space group P4/mmm (No. 123)
Unique sites:
1 Hf 0.000 0.000 0.000
2 Zn 0.500 0.500 0.000
3 In 0.000 0.500 0.500
4 Mo 0.000 0.000 0.500

Density functional theory data (meta-GGA SCAN) for SrNdO3 at its PBEsol-relaxed geometry.

## Properties
theoretical density = 5.26 Mg/m³
energy relative to the elements, uncorrected = -2.630 eV/atom
raw total energy = -97.7 eV per formula unit

Unit cell a=4.453 b=4.453 c=4.453 alpha=90.00 beta=90.00 gamma=90.00
Space group Pm-3m (No. 221)
Unique sites:
1 Sr 0.000 0.000 0.000
2 Nd 0.500 0.500 0.500
3 O 0.000 0.500 0.500

Density functional theory data (meta-GGA SCAN) for Zn2TeIr at its PBEsol-relaxed geometry.

## Properties
theoretical density = 11.00 Mg/m³
energy relative to the elements, uncorrected = 0.249 eV/atom
raw total energy = -134.4 eV per formula unit

Unit cell a=3.304 b=3.304 c=6.233 alpha=90.00 beta=90.00 gamma=90.00
Space group P4mm (No. 99)
Unique sites:
1 Zn 0.000 0.000 0.000
2 Zn 0.500 0.500 0.220
3 Te 0.500 0.500 0.689
4 Ir 0.000 0.000 0.410

Density functional theory data (meta-GGA SCAN) for La2MgRu at its PBEsol-relaxed geometry.

## Properties
theoretical density = 6.61 Mg/m³
DFT formation energy = -0.03 eV/atom
raw total energy = -126.1 eV per formula unit

Unit cell a=3.371 b=3.371 c=8.918 alpha=90.00 beta=90.00 gamma=90.00
Space group P4mm (No. 99)
Unique sites:
1 La 0.000 0.000 0.000
2 La 0.500 0.500 0.364
3 Mg 0.000 0.000 0.648
4 Ru 0.500 0.500 0.815

Density functional theory data (meta-GGA SCAN) for MgIn2Ga at its PBEsol-relaxed geometry.

## Properties
theoretical density = 5.94 Mg/m³
DFT formation energy = 0.04 eV/atom
raw total energy = -87.9 eV per formula unit

Unit cell a=7.126 b=7.126 c=7.126 alpha=90.00 beta=90.00 gamma=90.00
Space group Fm-3m (No. 225)
Unique sites:
1 Mg 0.000 0.000 0.000
2 In 0.250 0.250 0.250
3 Ga 0.000 0.000 0.500

Density functional theory data (meta-GGA SCAN) for Ca2CrW at its PBEsol-relaxed geometry.

## Properties
theoretical density = 7.00 Mg/m³
DFT formation energy = 1.22 eV/atom
offset from the most stable computed form = 2.11 eV/f.u.
raw total energy = -102.5 eV per formula unit

Unit cell a=2.730 b=5.074 c=5.409 alpha=90.00 beta=90.19 gamma=90.00
Space group P2/m (No. 10)
Unique sites:
1 Ca 0.001 0.000 0.252
2 Cr 0.500 0.500 0.500
3 W 0.500 0.500 0.000

Density functional theory data (meta-GGA SCAN) for CoSiSe2 at its PBEsol-relaxed geometry.

## Properties
theoretical density = 6.75 Mg/m³
energy relative to the elements, uncorrected = 0.647 eV/atom
raw total energy = -64.9 eV per formula unit

Unit cell a=4.462 b=4.462 c=3.025 alpha=90.00 beta=90.00 gamma=90.00
Space group P4/mmm (No. 123)
Unique sites:
1 Co 0.000 0.000 0.000
2 Si 0.500 0.500 0.000
3 Se 0.000 0.500 0.500

Density functional theory data (meta-GGA SCAN) for LaPdCl2 at its PBEsol-relaxed geometry.

## Properties
theoretical density = 4.90 Mg/m³
offset from the most stable computed form = 1.87 eV/f.u.
energy relative to the elements, uncorrected = -0.698 eV/atom
raw total energy = -94.6 eV per formula unit

Unit cell a=4.0181 b=4.0181 c=22.9982 alpha=90.00 beta=90.00 gamma=120.00
Space group R-3m (No. 166, hexagonal axes)
Unique sites:
1 La 0.0000 0.0000 0.0000
2 Pd 0.0000 0.0000 0.5000
3 Cl 0.0000 0.0000 0.1159

Density functional theory data (meta-GGA SCAN) for Mg3Au at its PBEsol-relaxed geometry.

## Properties
theoretical density = 5.99 Mg/m³
DFT formation energy = -0.51 eV/atom
offset from the most stable computed form = 0.35 eV/f.u.
raw total energy = -86.1 eV per formula unit

Unit cell a=4.780 b=5.988 c=5.229 alpha=90.00 beta=90.00 gamma=90.00
Space group Pmmn (No. 59, origin choice 2)
Unique sites:
1 Mg 0.250 0.001 0.169
2 Mg 0.250 0.750 0.635
3 Au 0.250 0.250 0.687